No. 1
DFT (SCAN) results for LiMnAl2 at its PBEsol-relaxed geometry.

Formation enthalpy at 0 K, eV per formula unit: -1.05
Calculated total energy, eV/atom: -9.299

Lattice parameters (Å, degrees): 2.879 2.879 6.484 90.00 90.00 90.00
Fractional coordinates of all 4 atoms:
1 Li 0.000 0.000 0.000
2 Mn 0.000 0.000 0.500
3 Al 0.500 0.500 0.273
4 Al 0.500 0.500 0.727

***

No. 2
DFT (SCAN) results for ScSnW3 at its PBEsol-relaxed geometry.

Formation enthalpy at 0 K, eV per formula unit: 12.47
Relative energy among the computed polymorphs, meV/atom: 124.7
Calculated total energy, eV/atom: -49.349

Lattice parameters (Å, degrees): 4.603 4.603 4.603 90.00 90.00 90.00
Fractional coordinates of all 5 atoms:
1 Sc 0.000 0.000 0.000
2 Sn 0.500 0.500 0.500
3 W 0.000 0.000 0.500
4 W 0.000 0.500 0.000
5 W 0.500 0.000 0.000

***

No. 3
DFT (SCAN) results for Ag2Hg7As4I6 at its PBEsol-relaxed geometry.

Formation energy from raw total energies, eV/atom: -0.19
Calculated total energy, eV/atom: -44.457

Lattice parameters (Å, degrees): 13.169 13.169 13.169 90.00 90.00 90.00
Fractional coordinates of all 76 atoms:
1 Ag 0.207 0.207 0.207
2 Ag 0.207 0.293 0.707
3 Ag 0.293 0.707 0.207
4 Ag 0.293 0.793 0.707
5 Ag 0.707 0.207 0.293
6 Ag 0.707 0.293 0.793
7 Ag 0.793 0.707 0.293
8 Ag 0.793 0.793 0.793
9 Hg 0.000 0.000 0.500
10 Hg 0.000 0.500 0.000
11 Hg 0.056 0.708 0.413
12 Hg 0.056 0.792 0.913
13 Hg 0.087 0.556 0.708
14 Hg 0.087 0.944 0.208
15 Hg 0.208 0.087 0.944
16 Hg 0.208 0.413 0.444
17 Hg 0.292 0.587 0.944
18 Hg 0.292 0.913 0.444
19 Hg 0.413 0.056 0.708
20 Hg 0.413 0.444 0.208
21 Hg 0.444 0.208 0.413
22 Hg 0.444 0.292 0.913
23 Hg 0.500 0.000 0.000
24 Hg 0.500 0.500 0.500
25 Hg 0.556 0.708 0.087
26 Hg 0.556 0.792 0.587
27 Hg 0.587 0.556 0.792
28 Hg 0.587 0.944 0.292
29 Hg 0.708 0.087 0.556
30 Hg 0.708 0.413 0.056
31 Hg 0.792 0.587 0.556
32 Hg 0.792 0.913 0.056
33 Hg 0.913 0.056 0.792
34 Hg 0.913 0.444 0.292
35 Hg 0.944 0.208 0.087
36 Hg 0.944 0.292 0.587
37 As 0.053 0.053 0.053
38 As 0.053 0.447 0.553
39 As 0.111 0.611 0.889
40 As 0.111 0.889 0.389
41 As 0.389 0.111 0.889
42 As 0.389 0.389 0.389
43 As 0.447 0.553 0.053
44 As 0.447 0.947 0.553
45 As 0.553 0.053 0.447
46 As 0.553 0.447 0.947
47 As 0.611 0.611 0.611
48 As 0.611 0.889 0.111
49 As 0.889 0.111 0.611
50 As 0.889 0.389 0.111
51 As 0.947 0.553 0.447
52 As 0.947 0.947 0.947
53 I 0.055 0.249 0.339
54 I 0.055 0.251 0.839
55 I 0.161 0.555 0.249
56 I 0.161 0.945 0.749
57 I 0.249 0.161 0.555
58 I 0.249 0.339 0.055
59 I 0.251 0.661 0.555
60 I 0.251 0.839 0.055
61 I 0.339 0.055 0.249
62 I 0.339 0.445 0.749
63 I 0.445 0.749 0.339
64 I 0.445 0.751 0.839
65 I 0.555 0.249 0.161
66 I 0.555 0.251 0.661
67 I 0.661 0.555 0.251
68 I 0.661 0.945 0.751
69 I 0.749 0.161 0.945
70 I 0.749 0.339 0.445
71 I 0.751 0.661 0.945
72 I 0.751 0.839 0.445
73 I 0.839 0.055 0.251
74 I 0.839 0.445 0.751
75 I 0.945 0.749 0.161
76 I 0.945 0.751 0.661

***

No. 4
DFT (SCAN) results for CaTlCr2 at its PBEsol-relaxed geometry.

Formation enthalpy at 0 K, eV per formula unit: 1.29
Relative energy among the computed polymorphs, meV/atom: 233.0
Calculated total energy, eV/atom: -29.376

Lattice parameters (Å, degrees): 3.625 3.641 6.615 90.00 90.00 90.00
Fractional coordinates of all 4 atoms:
1 Ca 0.000 0.000 0.000
2 Tl 0.000 0.000 0.500
3 Cr 0.500 0.500 0.284
4 Cr 0.500 0.500 0.716

***

No. 5
DFT (SCAN) results for LiIn2Ge2 at its PBEsol-relaxed geometry.

Formation enthalpy at 0 K, eV per formula unit: 0.30
Calculated total energy, eV/atom: -21.408

Lattice parameters (Å, degrees): 6.661 6.661 6.661 139.66 139.66 58.36
Fractional coordinates of all 5 atoms:
1 Li 0.000 0.000 0.000
2 In 0.382 0.382 0.000
3 In 0.618 0.618 0.000
4 Ge 0.250 0.750 0.500
5 Ge 0.750 0.250 0.500

***

No. 6
DFT (SCAN) results for IrBrN3 at its PBEsol-relaxed geometry.

Formation energy from raw total energies, eV/atom: 1.66
Calculated total energy, eV/atom: -22.031

Lattice parameters (Å, degrees): 3.881 3.881 3.881 90.00 90.00 90.00
Fractional coordinates of all 5 atoms:
1 Ir 0.000 0.000 0.000
2 Br 0.500 0.500 0.500
3 N 0.000 0.000 0.500
4 N 0.000 0.500 0.000
5 N 0.500 0.000 0.000

***

No. 7
DFT (SCAN) results for Re2Hg at its PBEsol-relaxed geometry.

Formation enthalpy at 0 K, eV per formula unit: 1.39
Calculated total energy, eV/atom: -69.656

Lattice parameters (Å, degrees): 6.157 6.157 6.157 152.47 152.47 39.33
Fractional coordinates of all 3 atoms:
1 Re 0.186 0.186 0.000
2 Re 0.814 0.814 0.000
3 Hg 0.500 0.500 0.000

***

No. 8
DFT (SCAN) results for As2HBrF at its PBEsol-relaxed geometry.

Calculated total energy, eV/atom: -13.049

Lattice parameters (Å, degrees): 4.013 4.013 4.555 90.00 90.00 90.00
Fractional coordinates of all 5 atoms:
1 As 0.000 0.500 0.000
2 As 0.500 0.000 0.000
3 H 0.000 0.000 0.000
4 Br 0.000 0.000 0.500
5 F 0.500 0.500 0.500